BaAg6Se4 | GGA-PBE | optimized geometry

Cell: 14.433 14.433 14.433 Å, 162.81 162.81 24.40°
Fractional coordinates of all 11 atoms:
Ba1 0.000 0.000 0.000
Ag1 0.124 0.624 0.500
Ag2 0.250 0.750 0.500
Ag3 0.376 0.876 0.500
Ag4 0.624 0.124 0.500
Ag5 0.750 0.250 0.500
Ag6 0.876 0.376 0.500
Se1 0.187 0.187 0.000
Se2 0.439 0.439 0.000
Se3 0.561 0.561 0.000
Se4 0.813 0.813 0.000

Values from the calculation:
- DOS at the Fermi energy: 1.0 states/eV/f.u.
- ΔE_f (raw): -424.1 kJ/mol of formula units